1.
Compound: CdSbTe2
Source: Alexandria via LeMat-Bulk
Functional: GGA-PBE
Structure: optimized geometry

abc: 3.797 3.797 7.646
angles: 90.00 90.00 90.00
Positions (direct):
1 Cd 0.000 0.000 0.000
2 Sb 0.000 0.000 0.500
3 Te 0.500 0.500 0.252
4 Te 0.500 0.500 0.748

Density (g/cm3): 7.373
Raw total energy (eV per atom): -2.71

2.
Compound: BaSi3Pd2
Source: Alexandria via LeMat-Bulk
Functional: GGA-PBE
Structure: optimized geometry

abc: 6.522 6.522 5.665
angles: 90.00 90.00 73.11
Positions (direct):
1 Ba 0.149 0.851 0.750
2 Ba 0.851 0.149 0.250
3 Si 0.021 0.588 0.250
4 Si 0.379 0.621 0.250
5 Si 0.412 0.979 0.250
6 Si 0.588 0.021 0.750
7 Si 0.621 0.379 0.750
8 Si 0.979 0.412 0.750
9 Pd 0.310 0.310 0.000
10 Pd 0.310 0.310 0.500
11 Pd 0.690 0.690 0.000
12 Pd 0.690 0.690 0.500

Density (g/cm3): 6.257
Raw total energy (eV per atom): -5.25

3.
Compound: NbCdPdRuI
Source: Alexandria via LeMat-Bulk
Functional: GGA-PBE
Structure: optimized geometry

abc: 3.937 4.443 6.550
angles: 90.00 90.00 90.00
Positions (direct):
1 Nb 0.000 0.000 0.000
2 Cd 0.500 0.500 0.050
3 Pd 0.000 0.500 0.745
4 Ru 0.500 0.000 0.774
5 I 0.000 0.000 0.437

Density (g/cm3): 7.824
Raw total energy (eV per atom): -5.24

4.
Compound: KPuPb2
Source: Alexandria via LeMat-Bulk
Functional: GGA-PBE
Structure: optimized geometry

abc: 3.453 3.453 10.482
angles: 90.00 90.00 90.00
Positions (direct):
1 K 0.000 0.000 0.000
2 Pu 0.000 0.000 0.500
3 Pb 0.500 0.500 0.269
4 Pb 0.500 0.500 0.731

Density (g/cm3): 9.270
Formation energy (eV/f.u.): -0.54
Raw total energy (eV per atom): -5.85